Entry 1:
Entry from Alexandria: a geometry-optimized NpPaTeAs structure (PBE).

Output
DOS(E_F) in states/eV/cell: 16.09
Formation energy without anion corrections in eV per atom: -0.579
Space group: F-43m
Total moment in μB/cell: 6.62

Lattice parameters (Å, degrees): 5.169 5.169 5.169 60.00 60.00 60.00
Each line ends with the local moment (μB).
Element x y z (fractional)
Te1 0.250 0.250 0.250  -0.07
Pa1 0.000 0.000 0.000  1.49
As1 0.750 0.750 0.750  -0.09
Np1 0.500 0.500 0.500  4.29

Entry 2:
Entry from Alexandria: a geometry-optimized Ta2TcSb structure (PBE).

Output
DOS(E_F) in states/eV/cell: 5.50
Formation energy without anion corrections in eV per atom: 0.066
Space group: P4/mmm
Total moment in μB/cell: 0.00

Lattice parameters (Å, degrees): 3.111 3.111 7.685 90.00 90.00 90.00
Element x y z (fractional)
Sb1 0.500 0.500 0.750
Tc1 0.500 0.500 0.250
Ta1 0.000 0.000 0.462
Ta2 0.000 0.000 0.038